Density functional theory data (PBE) for an optimized crystal structure of Ta2NbCo9.

```
Ta2NbCo9
1.0
3.639 0.000 0.000
0.000 3.639 0.000
0.000 0.000 10.918
Ta Nb Co
2 1 9
Direct
0.000 0.000 0.166 Ta
0.000 0.000 0.834 Ta
0.000 0.000 0.500 Nb
0.000 0.500 0.000 Co
0.000 0.500 0.333 Co
0.000 0.500 0.667 Co
0.500 0.000 0.000 Co
0.500 0.000 0.333 Co
0.500 0.000 0.667 Co
0.500 0.500 0.166 Co
0.500 0.500 0.500 Co
0.500 0.500 0.834 Co
```

Values from the calculation:
Symmetry: P4/mmm, No. 123
Crystal system: tetragonal
VASP energy, eV/cell: -100.2
DFT formation energy, eV per atom: -0.20
Size of the total moment, μB per formula unit: 0.0